Record 1
DFT (SCAN) results for a PBEsol-optimized structure of LaMoAsC2.

Lattice parameters (Å, degrees): 4.1701 4.1701 4.6847 90.00 90.00 90.00
Closest atoms and distances in Å follow each position.
Element x y z (fractional)
La  0.0000  0.0000  0.0000  4 Mo 2.95, 8 C 3.14
Mo  0.5000  0.5000  0.0000  2 As 2.34
As  0.5000  0.5000  0.5000  4 C 2.09
C  0.0000  0.5000  0.5000  2 As 2.09
C  0.5000  0.0000  0.5000  2 As 2.09

Formation enthalpy at 0 K in eV/atom: 1.756
N(E_F) in states/eV/f.u.: 4.19
Space group: P4/mmm (123)

=====

Record 2
DFT (SCAN) results for a PBEsol-optimized structure of BaSbIr.

Lattice parameters (Å, degrees): 6.4913 6.4913 6.4913 147.90 147.90 46.04
Closest atoms and distances in Å follow each position.
Element x y z (fractional)
Ba  0.0000  0.0000  0.0000  5 Sb 3.34-3.66, 5 Ir 3.49-3.58, 4 Ba 3.59
Sb  0.2799  0.2799  0.0000  4 Ir 2.71
Ir  0.7006  0.7006  0.0000  4 Sb 2.71

Formation energy without anion corrections in kcal/mol of atoms: -6.262
N(E_F) in states/eV/f.u.: 2.65
Space group: I4mm (107)

=====

Record 3
DFT (SCAN) results for a PBEsol-optimized structure of AlP2W.

Lattice parameters (Å, degrees): 6.8549 6.8549 6.8549 27.40 27.40 27.40
Closest atoms and distances in Å follow each position.
Element x y z (fractional)
Al  0.0000  0.0000  0.0000  6 P 2.52
P  0.2485  0.2485  0.2485  3 W 2.48, 3 Al 2.52
P  0.7515  0.7515  0.7515  3 W 2.48, 3 Al 2.52
W  0.5000  0.5000  0.5000  6 P 2.48

Formation enthalpy at 0 K in eV/atom: -0.056
N(E_F) in states/eV/f.u.: 2.00
Space group: R-3m (166)

=====

Record 4
DFT (SCAN) results for a PBEsol-optimized structure of Li4Fe2Cu3O10.

Lattice parameters (Å, degrees): 4.9647 5.1563 7.4411 105.01 102.35 105.25
Closest atoms and distances in Å follow each position.
Element x y z (fractional)
Li  0.1013  0.2093  0.2217  5 O 2.01-2.09
Li  0.2803  0.5779  0.5973  5 O 1.99-2.13
Li  0.7197  0.4221  0.4027  5 O 1.99-2.13
Li  0.8987  0.7907  0.7783  5 O 2.01-2.09
Fe  0.4055  0.8235  0.3151  6 O 1.80-1.92
Fe  0.5945  0.1765  0.6849  6 O 1.80-1.92
Cu  0.1942  0.3771  0.8932  4 O 1.91-1.98
Cu  0.5000  0.0000  0.0000  4 O 1.84-1.95
Cu  0.8058  0.6229  0.1068  4 O 1.91-1.98
O  0.0656  0.6067  0.3304  1 Fe 1.81, 1 Cu 1.91, 1 Li 1.99
O  0.1641  0.8370  0.0810  2 Cu 1.91-1.95, 1 Fe 1.92, 1 Li 2.07
O  0.2949  0.9742  0.7545  1 Fe 1.83, 1 Cu 1.84, 2 Li 2.01-2.05
O  0.3770  0.1768  0.4586  2 Fe 1.80-1.92
O  0.4432  0.4793  0.1644  1 Fe 1.92, 2 Cu 1.94-1.98, 2 Li 2.09-2.13
O  0.5568  0.5207  0.8356  1 Fe 1.92, 2 Cu 1.94-1.98, 2 Li 2.09-2.13
O  0.6230  0.8232  0.5414  2 Fe 1.80-1.92
O  0.7051  0.0258  0.2455  1 Fe 1.83, 1 Cu 1.84, 2 Li 2.01-2.05
O  0.8359  0.1630  0.9190  2 Cu 1.91-1.95, 1 Fe 1.92, 1 Li 2.07
O  0.9344  0.3933  0.6696  1 Fe 1.81, 1 Cu 1.91, 1 Li 1.99

Formation energy without anion corrections in kcal/mol of atoms: -33.370
N(E_F) in states/eV/f.u.: 5.01
Space group: P-1 (2)

=====

Record 5
DFT (SCAN) results for a PBEsol-optimized structure of CuSi2Hg.

Lattice parameters (Å, degrees): 7.8859 7.8859 7.8859 22.68 22.68 22.68
Closest atoms and distances in Å follow each position.
Element x y z (fractional)
Cu  0.0000  0.0000  0.0000  3 Si 2.40
Si  0.2637  0.2637  0.2637  3 Cu 2.40, 3 Si 2.51
Si  0.5205  0.5205  0.5205  3 Si 2.51
Hg  0.7565  0.7565  0.7565  3 Cu 2.74, 3 Si 2.87

Formation energy without anion corrections in kcal/mol of atoms: 9.508
N(E_F) in states/eV/f.u.: 1.35
Space group: R3m (160)

=====

Record 6
DFT (SCAN) results for a PBEsol-optimized structure of KHgAu.

Lattice parameters (Å, degrees): 4.8281 4.8281 4.1431 90.00 90.00 120.00
Closest atoms and distances in Å follow each position.
Element x y z (fractional)
K  0.0000  0.0000  0.0000  6 Hg 3.47, 6 Au 3.47
Hg  0.3333  0.6667  0.5000  3 Au 2.79
Au  0.6667  0.3333  0.5000  3 Hg 2.79

E above lowest polymorph in eV/atom: 0.0000
Formation enthalpy at 0 K in eV/atom: -0.358
N(E_F) in states/eV/f.u.: 0.84
Space group: P-6m2 (187)

=====

Record 7
DFT (SCAN) results for a PBEsol-optimized structure of Eu2NbInO6.

Lattice parameters (Å, degrees): 5.7733 5.7733 5.7733 60.00 60.00 60.00
Closest atoms and distances in Å follow each position.
Element x y z (fractional)
Eu  0.2500  0.2500  0.2500  12 O 2.89
Eu  0.7500  0.7500  0.7500  12 O 2.89
Nb  0.0000  0.0000  0.0000  6 O 1.98
In  0.5000  0.5000  0.5000  6 O 2.10
O  0.2430  0.2430  0.7570  1 Nb 1.98, 1 In 2.10
O  0.2430  0.7570  0.2430  1 Nb 1.98, 1 In 2.10
O  0.2430  0.7570  0.7570  1 Nb 1.98, 1 In 2.10
O  0.7570  0.2430  0.2430  1 Nb 1.98, 1 In 2.10
O  0.7570  0.2430  0.7570  1 Nb 1.98, 1 In 2.10
O  0.7570  0.7570  0.2430  1 Nb 1.98, 1 In 2.10

Formation energy without anion corrections in kcal/mol of atoms: -62.842
Space group: Fm-3m (225)

=====

Record 8
DFT (SCAN) results for a PBEsol-optimized structure of NaTe2As2.

Lattice parameters (Å, degrees): 7.7414 7.7414 7.7414 146.87 146.87 47.56
Closest atoms and distances in Å follow each position.
Element x y z (fractional)
Na  0.0000  0.0000  0.0000  8 As 3.32
Te  0.2500  0.7500  0.5000  4 Te 3.12, 4 As 3.27
Te  0.7500  0.2500  0.5000  4 Te 3.12, 4 As 3.27
As  0.4199  0.4199  0.0000  1 As 2.27
As  0.5801  0.5801  0.0000  1 As 2.27

E above lowest polymorph in eV/atom: 0.1832
Formation energy without anion corrections in kcal/mol of atoms: 1.781
N(E_F) in states/eV/f.u.: 2.48
Space group: I4/mmm (139)

=====

Record 9
DFT (SCAN) results for a PBEsol-optimized structure of AgHg5.

Lattice parameters (Å, degrees): 5.2776 7.8811 7.8811 23.02 90.00 90.00
Closest atoms and distances in Å follow each position.
Element x y z (fractional)
Ag  0.0000  0.0000  0.0000  10 Hg 2.94-3.20, 2 Ag 3.15
Hg  0.0000  0.3394  0.3394  2 Ag 2.94, 10 Hg 3.15-3.19
Hg  0.0000  0.6617  0.6617  2 Ag 2.95, 10 Hg 3.08-3.24
Hg  0.5000  0.2280  0.2280  12 Hg 3.04-3.24
Hg  0.5000  0.5588  0.5588  8 Hg 2.96-3.15, 4 Ag 3.20
Hg  0.5000  0.8962  0.8962  10 Hg 2.96-3.19, 2 Ag 3.09

E above lowest polymorph in eV/atom: 0.0309
Formation enthalpy at 0 K in eV/atom: 0.089
N(E_F) in states/eV/f.u.: 1.47
Space group: Amm2 (38)

=====

Record 10
DFT (SCAN) results for a PBEsol-optimized structure of TlHgRhPb2.

Lattice parameters (Å, degrees): 5.4991 5.4991 5.2875 90.00 90.00 90.00
Closest atoms and distances in Å follow each position.
Element x y z (fractional)
Tl  0.0000  0.0000  0.0000  2 Hg 2.64
Hg  0.0000  0.0000  0.5000  2 Tl 2.64, 4 Pb 2.75
Rh  0.5000  0.5000  0.0000  8 Pb 3.81, 4 Tl 3.89
Pb  0.0000  0.5000  0.5000  2 Hg 2.75
Pb  0.5000  0.0000  0.5000  2 Hg 2.75

Formation enthalpy at 0 K in eV/atom: 1.119
N(E_F) in states/eV/f.u.: 5.33
Space group: P4/mmm (123)

=====

Record 11
DFT (SCAN) results for a PBEsol-optimized structure of In2CoSe.

Lattice parameters (Å, degrees): 5.2757 5.2757 5.2757 140.65 123.43 71.08
Closest atoms and distances in Å follow each position.
Element x y z (fractional)
In  0.2311  0.2311  0.0000  2 Co 2.66, 2 Se 2.91
In  0.7689  0.7689  0.0000  2 Co 2.66, 2 Se 2.91
Co  0.0000  0.5000  0.5000  4 In 2.66
Se  0.5000  0.0000  0.5000  8 In 2.91-3.19, 4 Co 3.07

Formation energy without anion corrections in kcal/mol of atoms: 8.404
N(E_F) in states/eV/f.u.: 2.22
Space group: Immm (71)

=====

Record 12
DFT (SCAN) results for a PBEsol-optimized structure of Mn2IrAu.

Lattice parameters (Å, degrees): 4.3557 4.3557 4.3557 60.00 60.00 60.00
Closest atoms and distances in Å follow each position.
Element x y z (fractional)
Mn  0.2500  0.2500  0.2500  4 Ir 2.67, 4 Au 2.67
Mn  0.7500  0.7500  0.7500  4 Au 2.67, 4 Ir 2.67
Ir  0.0000  0.0000  0.0000  8 Mn 2.67
Au  0.5000  0.5000  0.5000  8 Mn 2.67

E above lowest polymorph in eV/atom: 0.0000
Formation enthalpy at 0 K in eV/atom: -0.401
N(E_F) in states/eV/f.u.: 1.74
Space group: Fm-3m (225)

=====

Record 13
DFT (SCAN) results for a PBEsol-optimized structure of Zn2Ir.

Lattice parameters (Å, degrees): 7.1662 7.1662 2.8398 90.00 90.00 120.00
Closest atoms and distances in Å follow each position.
Element x y z (fractional)
Zn  0.0000  0.3807  0.0000  5 Ir 2.65-2.73, 8 Zn 2.73-2.85
Zn  0.0000  0.7063  0.5000  4 Ir 2.54, 4 Zn 2.73-2.84
Zn  0.2937  0.2937  0.5000  4 Ir 2.54, 4 Zn 2.73-2.84
Zn  0.3807  0.0000  0.0000  5 Ir 2.65-2.73, 8 Zn 2.73-2.85
Zn  0.6193  0.6193  0.0000  5 Ir 2.65-2.73, 8 Zn 2.73-2.85
Zn  0.7063  0.0000  0.5000  4 Ir 2.54, 4 Zn 2.73-2.84
Ir  0.0000  0.0000  0.0000  9 Zn 2.54-2.73, 2 Ir 2.84
Ir  0.3333  0.6667  0.5000  9 Zn 2.54-2.65, 2 Ir 2.84
Ir  0.6667  0.3333  0.5000  9 Zn 2.54-2.65, 2 Ir 2.84

Formation enthalpy at 0 K in eV/atom: -0.166
N(E_F) in states/eV/f.u.: 1.47
Space group: P-62m (189)

=====

Record 14
DFT (SCAN) results for a PBEsol-optimized structure of LiCuAg2.

Lattice parameters (Å, degrees): 2.7626 3.6944 5.6646 90.00 90.00 90.00
Closest atoms and distances in Å follow each position.
Element x y z (fractional)
Li  0.0000  0.0000  0.0000  8 Ag 2.72, 2 Li 2.76, 2 Cu 2.83
Cu  0.0000  0.0000  0.5000  8 Ag 2.70, 2 Cu 2.76, 2 Li 2.83
Ag  0.5000  0.5000  0.2532  4 Cu 2.70, 4 Li 2.72, 4 Ag 2.76-2.87
Ag  0.5000  0.5000  0.7468  4 Cu 2.70, 4 Li 2.72, 4 Ag 2.76-2.87

Formation enthalpy at 0 K in eV/atom: -0.038
N(E_F) in states/eV/f.u.: 0.96
Space group: Pmmm (47)